The following is a DFT calculation (PBE-GGA) of a relaxed structure of CeSb2Mo.

Computed properties:
**E_form (uncorrected)**: 84.4 meV/atom
**DFT total energy**: -6.168 eV per atom
**N(E_F)**: 6.9 states/eV per cell

Cell and atoms, written as extended XYZ:
```
4
Lattice="1.645 0.950 10.531 -1.645 0.950 10.531 0.000 -1.899 10.531" Properties=species:S:1:pos:R:3 pbc="T T T"
Ce 0.000 0.000 0.000
Sb 0.000 0.000 3.230
Sb 0.000 0.000 28.362
Mo 0.000 0.000 15.796
```